Arrangement a

Entry from Alexandria: a relaxed LaAl2H crystal (PBE).

Cell lengths 4.956, 4.956, 4.956 Å; angles 60.00, 60.00, 60.00 degrees
Sites, in units of the cell vectors:
Al 0.250 0.250 0.250
Al 0.750 0.750 0.750
H 0.000 0.000 0.000
La 0.500 0.500 0.500

Results
- symmetry = No. 225
- DOS(E_F) (states/eV/atom) = 0.124
- magnetic moment (μB/atom) = 0.00

Arrangement b

Entry from Alexandria: a relaxed LaAl2H crystal (PBE).

Cell lengths 5.907, 5.907, 5.912 Å; angles 60.03, 60.03, 90.00 degrees
Sites, in units of the cell vectors:
H 0.250 0.750 0.500
H 0.500 0.500 0.000
La 0.000 0.000 0.000
La 0.750 0.250 0.500
Al 0.375 0.625 0.750
Al 0.375 0.125 0.250
Al 0.375 0.625 0.250
Al 0.875 0.625 0.750

Results
- symmetry = No. 227
- DOS(E_F) (states/eV/atom) = 0.688
- magnetic moment (μB/atom) = 0.00

In order of decreasing stability: arrangement b, arrangement a.

Arrangement a

Entry from Alexandria: a relaxed La2AlH2 crystal (PBE).

Cell lengths 7.583, 7.583, 3.185 Å; angles 90.00, 90.00, 90.00 degrees
Sites, in units of the cell vectors:
Al 0.500 0.500 0.000
Al 0.000 0.000 0.000
H 0.883 0.617 0.000
H 0.383 0.883 0.000
H 0.117 0.383 0.000
H 0.617 0.117 0.000
La 0.673 0.827 0.500
La 0.827 0.327 0.500
La 0.327 0.173 0.500
La 0.173 0.673 0.500

Results
- symmetry = No. 127
- DOS(E_F) (states/eV/atom) = 0.747
- magnetic moment (μB/atom) = 0.00

Arrangement b

Entry from Alexandria: a relaxed La2AlH2 crystal (PBE).

Cell lengths 3.982, 3.982, 6.930 Å; angles 73.30, 73.30, 90.00 degrees
Sites, in units of the cell vectors:
Al 0.000 0.000 0.000
H 0.750 0.250 0.500
H 0.250 0.750 0.500
La 0.645 0.645 0.711
La 0.355 0.355 0.289

Results
- symmetry = No. 139
- DOS(E_F) (states/eV/atom) = 0.326
- magnetic moment (μB/atom) = 0.00

In order of decreasing stability: arrangement b, arrangement a.

Arrangement a

Entry from Alexandria: a relaxed LaAlH crystal (PBE).

Cell lengths 6.914, 3.441, 4.598 Å; angles 90.00, 90.00, 90.00 degrees
Sites, in units of the cell vectors:
H 0.500 0.869 0.359
H 0.000 0.869 0.112
La 0.250 0.369 0.236
La 0.750 0.369 0.236
Al 0.500 0.869 0.756
Al 0.000 0.869 0.715

Results
- symmetry = No. 51
- DOS(E_F) (states/eV/atom) = 0.589
- magnetic moment (μB/atom) = 0.00

Arrangement b

Entry from Alexandria: a relaxed LaAlH crystal (PBE).

Cell lengths 4.184, 4.423, 6.725 Å; angles 90.00, 71.81, 90.00 degrees
Sites, in units of the cell vectors:
H 0.555 0.216 0.910
H 0.068 0.716 0.883
La 0.471 0.716 0.079
La 0.153 0.216 0.714
Al 0.865 0.216 0.288
Al 0.758 0.716 0.505

Results
- symmetry = No. 11
- DOS(E_F) (states/eV/atom) = 0.514
- magnetic moment (μB/atom) = 0.00

In order of decreasing stability: arrangement b, arrangement a.

Arrangement a

Entry from Alexandria: a relaxed LiLa2AlH crystal (PBE).

Cell lengths 5.246, 5.246, 3.968 Å; angles 90.00, 90.00, 90.00 degrees
Sites, in units of the cell vectors:
Al 0.500 0.500 0.500
Li 0.000 0.000 0.500
La 0.000 0.500 0.000
La 0.500 0.000 0.000
H 0.000 0.000 0.000

Results
- symmetry = No. 123
- DOS(E_F) (states/eV/atom) = 0.959
- magnetic moment (μB/atom) = 0.00

Arrangement b

Entry from Alexandria: a relaxed LiLa2AlH crystal (PBE).

Cell lengths 5.167, 5.167, 4.177 Å; angles 90.00, 90.00, 90.00 degrees
Sites, in units of the cell vectors:
Li 0.500 0.500 0.500
La 0.000 0.500 0.000
La 0.500 0.000 0.000
H 0.000 0.000 0.000
Al 0.000 0.000 0.500

Results
- symmetry = No. 123
- DOS(E_F) (states/eV/atom) = 0.974
- magnetic moment (μB/atom) = 0.00

In order of decreasing stability: arrangement a, arrangement b.

Arrangement a

Entry from Alexandria: a relaxed La2AlTlH crystal (PBE).

Cell lengths 4.932, 4.932, 4.808 Å; angles 90.00, 90.00, 90.00 degrees
Sites, in units of the cell vectors:
La 0.000 0.500 0.000
La 0.500 0.000 0.000
Tl 0.000 0.000 0.500
H 0.000 0.000 0.000
Al 0.500 0.500 0.500

Results
- symmetry = No. 123
- DOS(E_F) (states/eV/atom) = 0.709
- magnetic moment (μB/atom) = 0.00

Arrangement b

Entry from Alexandria: a relaxed La2AlTlH crystal (PBE).

Cell lengths 5.099, 5.099, 4.476 Å; angles 90.00, 90.00, 90.00 degrees
Sites, in units of the cell vectors:
H 0.000 0.000 0.000
La 0.000 0.500 0.000
La 0.500 0.000 0.000
Tl 0.500 0.500 0.500
Al 0.000 0.000 0.500

Results
- symmetry = No. 123
- DOS(E_F) (states/eV/atom) = 0.842
- magnetic moment (μB/atom) = 0.00

In order of decreasing stability: arrangement b, arrangement a.

Arrangement a

Entry from Alexandria: a relaxed Li2AlH5 crystal (PBE).

Cell lengths 3.505, 5.010, 9.032 Å; angles 90.00, 90.00, 110.47 degrees
Sites, in units of the cell vectors:
H 0.049 0.098 0.383
H 0.302 0.603 0.393
H 0.049 0.098 0.117
H 0.302 0.603 0.107
H 0.951 0.902 0.617
H 0.302 0.605 0.750
H 0.698 0.395 0.250
H 0.698 0.397 0.607
H 0.951 0.902 0.883
H 0.698 0.397 0.893
Li 0.861 0.722 0.063
Li 0.861 0.722 0.437
Li 0.139 0.278 0.563
Li 0.139 0.278 0.937
Al 0.173 0.346 0.250
Al 0.827 0.654 0.750

Results
- symmetry = No. 63
- DOS(E_F) (states/eV/atom) = 0.000
- magnetic moment (μB/atom) = 0.00

Arrangement b

Entry from Alexandria: a relaxed Li2AlH5 crystal (PBE).

Cell lengths 5.278, 5.278, 7.006 Å; angles 67.86, 67.86, 89.98 degrees
Sites, in units of the cell vectors:
H 0.709 0.206 0.089
H 0.624 0.376 0.750
H 0.291 0.794 0.911
H 0.793 0.798 0.902
H 0.207 0.202 0.098
H 0.794 0.291 0.411
H 0.376 0.624 0.250
H 0.202 0.207 0.598
H 0.798 0.793 0.402
H 0.206 0.709 0.589
Li 0.500 0.000 0.000
Li 0.000 0.500 0.500
Li 0.500 0.500 0.000
Li 0.500 0.500 0.500
Al 0.876 0.124 0.250
Al 0.124 0.876 0.750

Results
- symmetry = No. 15
- DOS(E_F) (states/eV/atom) = 0.000
- magnetic moment (μB/atom) = 0.00

In order of decreasing stability: arrangement a, arrangement b.

Arrangement a

Entry from Alexandria: a relaxed LiAl3H crystal (PBE).

Cell lengths 4.450, 4.450, 4.450 Å; angles 90.00, 90.00, 90.00 degrees
Sites, in units of the cell vectors:
Al 0.000 0.500 0.000
Al 0.000 0.000 0.500
Al 0.500 0.000 0.000
H 0.500 0.500 0.500
Li 0.000 0.000 0.000

Results
- symmetry = No. 221
- DOS(E_F) (states/eV/atom) = 0.272
- magnetic moment (μB/atom) = 0.00

Arrangement b

Entry from Alexandria: a relaxed LiAl3H crystal (PBE).

Cell lengths 4.097, 4.097, 4.097 Å; angles 90.00, 90.00, 90.00 degrees
Sites, in units of the cell vectors:
Al 0.500 0.000 0.000
Al 0.000 0.500 0.000
Al 0.000 0.000 0.500
Li 0.500 0.500 0.500
H 0.000 0.000 0.000

Results
- symmetry = No. 221
- DOS(E_F) (states/eV/atom) = 0.379
- magnetic moment (μB/atom) = 0.00

In order of decreasing stability: arrangement b, arrangement a.